## PaMo2O6 (PBE with a Hubbard U)

Data for a relaxed structure of PaMo2O6.

Unit cell a=9.5236 b=9.5236 c=4.8634 alpha=90.00 beta=90.00 gamma=120.00
Last column: nearest neighbours and their distance in Å.
Sites, in units of the cell vectors:
Pa (0.0000, 0.0000, 0.0000)  6 O 2.18
Pa (0.3333, 0.6667, 0.5158)  6 O 2.17-2.24
Pa (0.6667, 0.3333, 0.4842)  6 O 2.17-2.24
Mo (0.0000, 0.3484, 0.0000)  6 O 2.09-2.17
Mo (0.0000, 0.6516, 0.0000)  6 O 2.09-2.17
Mo (0.3484, 0.0000, 0.0000)  6 O 2.09-2.17
Mo (0.3484, 0.3484, 0.0000)  6 O 2.09-2.17
Mo (0.6516, 0.0000, 0.0000)  6 O 2.09-2.17
Mo (0.6516, 0.6516, 0.0000)  6 O 2.09-2.17
O (0.1125, 0.5563, 0.2459)  2 Mo 2.09, 1 Pa 2.24
O (0.1189, 0.2377, 0.1958)  2 Mo 2.12, 1 Pa 2.18
O (0.1189, 0.8811, 0.1958)  2 Mo 2.12, 1 Pa 2.18
O (0.2251, 0.4502, 0.7703)  2 Mo 2.17, 1 Pa 2.17
O (0.2251, 0.7749, 0.7703)  2 Mo 2.17, 1 Pa 2.17
O (0.2377, 0.1189, 0.8042)  2 Mo 2.12, 1 Pa 2.18
O (0.4437, 0.5563, 0.2459)  2 Mo 2.09, 1 Pa 2.24
O (0.4437, 0.8875, 0.2459)  2 Mo 2.09, 1 Pa 2.24
O (0.4502, 0.2251, 0.2297)  2 Mo 2.17, 1 Pa 2.17
O (0.5498, 0.7749, 0.7703)  2 Mo 2.17, 1 Pa 2.17
O (0.5563, 0.1125, 0.7541)  2 Mo 2.09, 1 Pa 2.24
O (0.5563, 0.4437, 0.7541)  2 Mo 2.09, 1 Pa 2.24
O (0.7623, 0.8811, 0.1958)  2 Mo 2.12, 1 Pa 2.18
O (0.7749, 0.2251, 0.2297)  2 Mo 2.17, 1 Pa 2.17
O (0.7749, 0.5498, 0.2297)  2 Mo 2.17, 1 Pa 2.17
O (0.8811, 0.1189, 0.8042)  2 Mo 2.12, 1 Pa 2.18
O (0.8811, 0.7623, 0.8042)  2 Mo 2.12, 1 Pa 2.18
O (0.8875, 0.4437, 0.7541)  2 Mo 2.09, 1 Pa 2.24

Values from the calculation:
The electronic total energy comes out at -223.53 eV per cell. Its space group is P-3m1. The density comes out at 6.77 Mg/m³. The volume comes out at 14.1 Å³ per atom.